Here is a geometry-optimized UMnGaRu structure from Alexandria via LeMat-Bulk. Energies are from PBE.

Total magnetization ... 0.2 μB/f.u.
ΔH_f (0 K) ... -0.15 eV per atom
Space group ... No. 216
DOS(E_F) ... 7.537 states/eV/cell

Lattice parameters (Å, degrees): 4.504 4.504 4.504 60.00 60.00 60.00
Last column: magnetic moment on the atom in μB.
Sites, in units of the cell vectors:
Ga (0.000, 0.000, 0.000)  0.03
U (0.500, 0.500, 0.500)  1.64
Mn (0.250, 0.250, 0.250)  -1.44
Ru (0.750, 0.750, 0.750)  -0.09